CsFe2Bi2O7 | GGA+U | optimized geometry Values from VASP.

Geometry as Quantum ESPRESSO input:
```
&SYSTEM
  ibrav = 0, nat = 12, ntyp = 4
/
ATOMIC_SPECIES
O 16.00 O.upf
Bi 208.98 Bi.upf
Fe 55.84 Fe.upf
Cs 132.91 Cs.upf
CELL_PARAMETERS angstrom
-2.560 -2.900 -4.544
-1.310 -5.799 0.521
-9.265 -0.814 1.821
ATOMIC_POSITIONS angstrom
O 0.000 0.000 0.000
O -4.201 -6.439 0.276
O -5.788 -6.451 -3.719
O -7.865 -1.863 -0.580
O -4.181 -2.828 -2.055
O -7.895 -5.485 1.734
O -9.477 -5.475 -2.263
Bi -10.670 -6.921 -1.327
Bi -2.466 -2.592 -0.875
Fe -7.600 -1.250 1.161
Fe -5.536 -8.264 -3.363
Cs -6.568 -4.757 -1.101
```

Computed properties:
- Mass density: 4.7 g/cm3
- Fermi-level density of states: 2.60 states/eV/f.u.
- Total magnetization: 9.0 μB/f.u.
- Symmetry: R32
- Calculated total energy: -5.755 eV/atom